This record from Alexandria via LeMat-Bulk describes a relaxed structure of VNiI2. The functional is PBE.

Lattice parameters (Å, degrees): 6.107 6.107 11.891 90.00 90.00 90.00
Sites, in units of the cell vectors:
V1 0.000 0.000 0.000
V2 0.000 0.500 0.250
V3 0.500 0.000 0.750
V4 0.500 0.500 0.500
Ni1 0.000 0.000 0.500
Ni2 0.000 0.500 0.750
Ni3 0.500 0.000 0.250
Ni4 0.500 0.500 0.000
I1 0.222 0.250 0.625
I2 0.250 0.722 0.875
I3 0.250 0.778 0.375
I4 0.278 0.250 0.125
I5 0.722 0.750 0.125
I6 0.750 0.222 0.375
I7 0.750 0.278 0.875
I8 0.778 0.750 0.625

Output
E = -4.226 eV/atom
polymorph energy (0 for the lowest one) = 0 kJ/mol of formula units
uncorrected formation energy = 274 meV per atom
calculated density = 5.44 g/cm3
space-group type = I-42d, No. 122